Entry 1:
ScHgI3 after structural relaxation. Source: the Alexandria database, functional PBE.

Output
Theoretical density = 3982 kg/m3
Calculated volume = 52.23 Å³ per atom
E above lowest polymorph = 873.0 meV per atom
Raw formation energy = -0.50 eV/f.u.

Cell lengths 6.083, 6.083, 14.754 Å; angles 78.10, 78.10, 90.00 degrees
Sites, in units of the cell vectors:
Sc1 0.698 0.198 0.604
Sc2 0.802 0.302 0.396
I1 0.615 0.863 0.274
I2 0.137 0.385 0.726
I3 0.137 0.889 0.726
I4 0.276 0.276 0.447
I5 0.111 0.863 0.274
I6 0.724 0.724 0.553
Hg1 0.250 0.750 0.500
Hg2 0.000 0.000 0.000

***

Entry 2:
NaSrPmPb after structural relaxation. Source: the Alexandria database, functional PBE.

Output
ΔH_f (0 K) = -0.23 eV/atom
Theoretical density = 5861 kg/m3
Calculated volume = 32.78 Å³ per atom

Cell lengths 5.703, 5.703, 5.703 Å; angles 60.00, 60.00, 60.00 degrees
Sites, in units of the cell vectors:
Pb1 0.500 0.500 0.500
Pm1 0.750 0.750 0.750
Sr1 0.250 0.250 0.250
Na1 0.000 0.000 0.000

***

What did the second record say?
NaSrPmPb after structural relaxation. Source: the Alexandria database, functional PBE.

Output
ΔH_f (0 K) = -0.23 eV/atom
Theoretical density = 5861 kg/m3
Calculated volume = 32.78 Å³ per atom

Cell lengths 5.703, 5.703, 5.703 Å; angles 60.00, 60.00, 60.00 degrees
Sites, in units of the cell vectors:
Pb1 0.500 0.500 0.500
Pm1 0.750 0.750 0.750
Sr1 0.250 0.250 0.250
Na1 0.000 0.000 0.000